Material: Li2PaPdS4
Method: DFT, GGA-PBE
State: optimized geometry

Structure (POSCAR):
```
Li2PaPdS4
1.0
1.930 -6.440 0.000
1.930 6.440 0.000
0.000 0.000 12.096
Li Pa Pd S
4 2 2 8
direct
0.101 0.899 0.554 Li
0.101 0.899 0.946 Li
0.899 0.101 0.054 Li
0.899 0.101 0.446 Li
0.408 0.592 0.750 Pa
0.592 0.408 0.250 Pa
0.329 0.671 0.250 Pd
0.671 0.329 0.750 Pd
0.056 0.944 0.750 S
0.187 0.813 0.124 S
0.187 0.813 0.376 S
0.500 0.500 0.000 S
0.500 0.500 0.500 S
0.813 0.187 0.624 S
0.813 0.187 0.876 S
0.944 0.056 0.250 S
```

As for the total energy: -5.500 eV per atom. The formation energy without anion corrections is -8.98 eV per formula unit. The mass density comes out at 5.30 g/cm3. The space group is No. 63.